Record 1
## NaTl2Pb3 (PBE-GGA)

Data for a geometry-optimized NaTl2Pb3 structure.

Cell lengths 6.095, 6.095, 10.958 Å; angles 100.25, 100.25, 110.41 degrees
Fractional coordinates of all 12 atoms:
1 Na 0.125 0.875 0.250
2 Na 0.875 0.125 0.750
3 Tl 0.041 0.292 0.082
4 Tl 0.708 0.959 0.418
5 Tl 0.959 0.708 0.918
6 Tl 0.292 0.041 0.582
7 Pb 0.208 0.457 0.415
8 Pb 0.543 0.792 0.085
9 Pb 0.792 0.543 0.585
10 Pb 0.457 0.208 0.915
11 Pb 0.624 0.376 0.250
12 Pb 0.376 0.624 0.750

Results
Symmetry: C2/c
Formation energy from the elements in eV/atom: -0.056

Record 2
## NaTl2Pb (PBE-GGA)

Data for a geometry-optimized NaTl2Pb structure.

Cell lengths 4.757, 4.957, 4.957 Å; angles 90.00, 90.00, 90.00 degrees
Fractional coordinates of all 4 atoms:
1 Pb 0.500 0.500 0.500
2 Na 0.500 0.000 0.000
3 Tl 0.000 0.000 0.500
4 Tl 0.000 0.500 0.000

Results
Symmetry: P4/mmm
Formation energy from the elements in eV/atom: -0.058

What is the formula in the first record?
NaTl2Pb3

Which of these has the highest formation energy from the elements?
NaTl2Pb3

Repeat the second record exactly.
## NaTl2Pb (PBE-GGA)

Data for a geometry-optimized NaTl2Pb structure.

Cell lengths 4.757, 4.957, 4.957 Å; angles 90.00, 90.00, 90.00 degrees
Fractional coordinates of all 4 atoms:
1 Pb 0.500 0.500 0.500
2 Na 0.500 0.000 0.000
3 Tl 0.000 0.000 0.500
4 Tl 0.000 0.500 0.000

Results
Symmetry: P4/mmm
Formation energy from the elements in eV/atom: -0.058

formation energy from the elements of number 2 (NaTl2Pb)?
-0.058 eV/atom